Entry A
Er4Tl3Hg: relaxed, GGA-PBE.

Calculated values
V	221	Å³/cell
magnetization	0.000	Bohr magnetons per cell
DOS at the Fermi energy	6.0	states/eV/cell

Cell: 4.2842 4.4963 11.4632 Å, 90.00 90.00 90.00°
Sites, in units of the cell vectors:
Er1 0.0000 0.5000 0.8660
Er2 0.5000 0.0000 0.6377
Er3 0.5000 0.5000 0.3587
Er4 0.0000 0.0000 0.1351
Tl1 0.0000 0.0000 0.4076
Tl2 0.0000 0.5000 0.5925
Tl3 0.5000 0.0000 0.9085
Hg1 0.5000 0.5000 0.0939

***

Entry B
Er4Tl3Hg: relaxed, GGA-PBE.

Calculated values
V	211	Å³/cell
magnetization	0.001	Bohr magnetons per cell
DOS at the Fermi energy	6.6	states/eV/cell

Cell: 3.7472 3.7472 15.0373 Å, 90.00 90.00 90.00°
Sites, in units of the cell vectors:
Tl1 0.5000 0.5000 0.7545
Tl2 0.5000 0.5000 0.5000
Tl3 0.5000 0.5000 0.2455
Er1 0.0000 0.0000 0.8819
Er2 0.0000 0.0000 0.3724
Er3 0.0000 0.0000 0.6276
Er4 0.0000 0.0000 0.1181
Hg1 0.5000 0.5000 0.0000

***

How do the energies compare? Relative to the most stable structure, in meV per atom: entry A 44; entry B 0.

***

Entry A
Er2TlHg2: relaxed, GGA-PBE.

Calculated values
V	258	Å³/cell
magnetization	0.000	Bohr magnetons per cell
DOS at the Fermi energy	6.5	states/eV/cell

Cell: 3.8557 8.1876 8.1876 Å, 90.00 90.00 90.00°
Sites, in units of the cell vectors:
Er1 0.5000 0.1700 0.6700
Er2 0.5000 0.8300 0.3300
Er3 0.5000 0.3300 0.1700
Er4 0.5000 0.6700 0.8300
Tl1 0.0000 0.0000 0.0000
Tl2 0.0000 0.5000 0.5000
Hg1 0.0000 0.3714 0.8714
Hg2 0.0000 0.6286 0.1286
Hg3 0.0000 0.8714 0.6286
Hg4 0.0000 0.1286 0.3714

***

Entry B
Er2TlHg2: relaxed, GGA-PBE.

Calculated values
V	142	Å³/cell
magnetization	0.000	Bohr magnetons per cell
DOS at the Fermi energy	2.8	states/eV/cell

Cell: 5.0647 5.0647 6.3997 Å, 90.00 90.00 120.00°
Sites, in units of the cell vectors:
Er1 0.6667 0.3333 0.8153
Er2 0.3333 0.6667 0.1847
Hg1 0.6667 0.3333 0.3390
Hg2 0.3333 0.6667 0.6610
Tl1 0.0000 0.0000 0.0000

***

How do the energies compare? Relative to the most stable structure, in meV per atom: entry A 0; entry B 106.

***

Entry A
Er6Tl5Hg: relaxed, GGA-PBE.

Calculated values
V	318	Å³/cell
magnetization	0.000	Bohr magnetons per cell
DOS at the Fermi energy	9.8	states/eV/cell

Cell: 5.3370 7.4192 8.4539 Å, 90.00 71.60 90.00°
Sites, in units of the cell vectors:
Tl1 0.6675 0.5000 0.6651
Tl2 0.0000 0.5000 0.0000
Tl3 0.3347 0.0000 0.3307
Tl4 0.3325 0.5000 0.3349
Tl5 0.6653 0.0000 0.6693
Er1 0.5000 0.2467 0.0000
Er2 0.1650 0.2477 0.6699
Er3 0.5000 0.7533 0.0000
Er4 0.1650 0.7523 0.6699
Er5 0.8350 0.7523 0.3301
Er6 0.8350 0.2477 0.3301
Hg1 0.0000 0.0000 0.0000

***

Entry B
Er6Tl5Hg: relaxed, GGA-PBE.

Calculated values
V	340	Å³/cell
magnetization	0.000	Bohr magnetons per cell
DOS at the Fermi energy	7.2	states/eV/cell

Cell: 9.7202 6.4281 6.4476 Å, 60.10 83.59 77.06°
Sites, in units of the cell vectors:
Tl1 0.5000 0.8305 0.3391
Tl2 0.5000 0.5000 0.0000
Tl3 0.0000 0.3350 0.3301
Tl4 0.0000 0.6650 0.6699
Tl5 0.5000 0.1695 0.6609
Er1 0.7512 0.7543 0.0000
Er2 0.7540 0.4108 0.6706
Er3 0.2488 0.2457 0.0000
Er4 0.2460 0.5892 0.3294
Er5 0.2460 0.9186 0.6706
Er6 0.7540 0.0814 0.3294
Hg1 0.0000 0.0000 0.0000

***

How do the energies compare? Relative to the most stable structure, in meV per atom: entry A 0; entry B 71.

***

Entry A
ErTlHg6: relaxed, GGA-PBE.

Calculated values
V	203	Å³/cell
magnetization	0.000	Bohr magnetons per cell
DOS at the Fermi energy	2.6	states/eV/cell

Cell: 4.6679 4.6679 9.3277 Å, 90.00 90.00 90.00°
Sites, in units of the cell vectors:
Hg1 0.0000 0.5000 0.7395
Hg2 0.5000 0.0000 0.2605
Hg3 0.5000 0.0000 0.7395
Hg4 0.0000 0.5000 0.2605
Hg5 0.5000 0.5000 0.0000
Hg6 0.5000 0.5000 0.5000
Er1 0.0000 0.0000 0.5000
Tl1 0.0000 0.0000 0.0000

***

Entry B
ErTlHg6: relaxed, GGA-PBE.

Calculated values
V	272	Å³/cell
magnetization	0.000	Bohr magnetons per cell
DOS at the Fermi energy	3.7	states/eV/cell

Cell: 6.4470 6.4470 8.4273 Å, 67.51 67.51 60.00°
Sites, in units of the cell vectors:
Tl1 0.5000 0.5000 0.5000
Er1 0.0000 0.0000 0.0000
Hg1 0.9252 0.9252 0.7007
Hg2 0.0748 0.0748 0.2993
Hg3 0.4489 0.9252 0.7007
Hg4 0.0748 0.5511 0.2993
Hg5 0.5511 0.0748 0.2993
Hg6 0.9252 0.4489 0.7007

***

How do the energies compare? Relative to the most stable structure, in meV per atom: entry A 0; entry B 196.

***

Entry A
ErTmTlHg: relaxed, GGA-PBE.

Calculated values
V	103	Å³/cell
magnetization	0.001	Bohr magnetons per cell
DOS at the Fermi energy	3.8	states/eV/cell

Cell: 3.7285 3.7285 7.4377 Å, 90.00 90.00 90.00°
Sites, in units of the cell vectors:
Hg1 0.0000 0.0000 0.3591
Tl1 0.0000 0.0000 0.8555
Er1 0.5000 0.5000 0.1159
Tm1 0.5000 0.5000 0.5975

***

Entry B
ErTmTlHg: relaxed, GGA-PBE.

Calculated values
V	103	Å³/cell
magnetization	0.003	Bohr magnetons per cell
DOS at the Fermi energy	4.4	states/eV/cell

Cell: 5.2693 5.2693 5.2693 Å, 60.00 60.00 60.00°
Sites, in units of the cell vectors:
Tm1 0.7500 0.7500 0.7500
Hg1 0.5000 0.5000 0.5000
Er1 0.2500 0.2500 0.2500
Tl1 0.0000 0.0000 0.0000

***

How do the energies compare? Relative to the most stable structure, in meV per atom: entry A 0; entry B 7.

***

Entry A
Er2TmHg4: relaxed, GGA-PBE.

Calculated values
V	189	Å³/cell
magnetization	0.000	Bohr magnetons per cell
DOS at the Fermi energy	5.2	states/eV/cell

Cell: 5.0485 5.0485 9.0650 Å, 73.83 73.83 60.00°
Sites, in units of the cell vectors:
Er1 0.7548 0.7548 0.7355
Er2 0.2452 0.2452 0.2645
Tm1 0.0000 0.0000 0.0000
Hg1 0.1268 0.1268 0.6195
Hg2 0.8732 0.8732 0.3805
Hg3 0.6252 0.6252 0.1244
Hg4 0.3748 0.3748 0.8756

***

Entry B
Er2TmHg4: relaxed, GGA-PBE.

Calculated values
V	235	Å³/cell
magnetization	0.000	Bohr magnetons per cell
DOS at the Fermi energy	6.4	states/eV/cell

Cell: 5.5575 5.5575 8.5504 Å, 108.96 108.96 90.00°
Sites, in units of the cell vectors:
Tm1 0.0000 0.0000 0.0000
Er1 0.6026 0.6026 0.2053
Er2 0.3974 0.3974 0.7947
Hg1 0.8013 0.8013 0.6027
Hg2 0.1987 0.1987 0.3973
Hg3 0.0000 0.5000 0.0000
Hg4 0.5000 0.0000 0.0000

***

How do the energies compare? Relative to the most stable structure, in meV per atom: entry A 0; entry B 380.

***

Entry A
Er3TmHg4: relaxed, GGA-PBE.

Calculated values
V	210	Å³/cell
magnetization	0.000	Bohr magnetons per cell
DOS at the Fermi energy	5.9	states/eV/cell

Cell: 5.2709 5.9308 7.5228 Å, 106.76 110.51 90.00°
Sites, in units of the cell vectors:
Hg1 0.6121 0.6508 0.2243
Hg2 0.2599 0.6733 0.5199
Hg3 0.7401 0.3267 0.4801
Hg4 0.3879 0.3492 0.7757
Er1 0.8339 0.9210 0.6677
Er2 0.0000 0.5000 0.0000
Er3 0.1661 0.0790 0.3323
Tm1 0.5000 0.0000 0.0000

***

Entry B
Er3TmHg4: relaxed, GGA-PBE.

Calculated values
V	201	Å³/cell
magnetization	0.000	Bohr magnetons per cell
DOS at the Fermi energy	7.1	states/eV/cell

Cell: 3.6864 3.6864 14.7575 Å, 90.00 90.00 90.00°
Sites, in units of the cell vectors:
Er1 0.5000 0.5000 0.5000
Er2 0.5000 0.5000 0.2493
Er3 0.5000 0.5000 0.7507
Hg1 0.0000 0.0000 0.3749
Hg2 0.0000 0.0000 0.1237
Hg3 0.0000 0.0000 0.8763
Hg4 0.0000 0.0000 0.6251
Tm1 0.5000 0.5000 0.0000

***

How do the energies compare? Relative to the most stable structure, in meV per atom: entry A 206; entry B 0.

***

Entry A
Er2Tm3Hg2: relaxed, GGA-PBE.

Calculated values
V	196	Å³/cell
magnetization	0.000	Bohr magnetons per cell
DOS at the Fermi energy	9.4	states/eV/cell

Cell: 3.5245 3.5189 15.8951 Å, 90.00 83.63 90.00°
Sites, in units of the cell vectors:
Tm1 0.0000 0.0000 0.0000
Tm2 0.8743 0.0000 0.2513
Tm3 0.1257 0.0000 0.7487
Hg1 0.4384 0.5000 0.1232
Hg2 0.5616 0.5000 0.8768
Er1 0.2968 0.5000 0.4064
Er2 0.7032 0.5000 0.5936

***

Entry B
Er2Tm3Hg2: relaxed, GGA-PBE.

Calculated values
V	189	Å³/cell
magnetization	0.000	Bohr magnetons per cell
DOS at the Fermi energy	7.6	states/eV/cell

Cell: 5.2751 5.2815 8.3993 Å, 108.28 90.00 119.96°
Sites, in units of the cell vectors:
Tm1 0.5000 0.0000 0.0000
Tm2 0.3429 0.6858 0.5285
Tm3 0.6571 0.3142 0.4715
Er1 0.9252 0.8503 0.2749
Er2 0.0748 0.1497 0.7251
Hg1 0.2137 0.4273 0.1413
Hg2 0.7863 0.5727 0.8587

***

How do the energies compare? Relative to the most stable structure, in meV per atom: entry A 51; entry B 0.